(1)
## Hg2WO4 (PBE with a Hubbard U)

Data for a geometry-optimized Hg2WO4 structure.

Structure (POSCAR):
```
Hg2WO4
1.0
7.439 0.005 0.003
-2.090 7.139 0.003
1.283 1.714 4.596
O Hg W
8 4 2
direct
0.084 0.180 0.346
0.820 0.916 0.154
0.916 0.820 0.654
0.666 0.047 0.705
0.953 0.334 0.795
0.334 0.953 0.295
0.047 0.666 0.205
0.180 0.084 0.846
0.472 0.242 0.476
0.758 0.528 0.024
0.528 0.758 0.524
0.242 0.472 0.976
0.906 0.094 0.750
0.094 0.906 0.250
```

Output
* DFT total energy: -0.1907 Ha/atom
* symmetry: C2/c, No. 15

(2)
## HgWO3 (PBE with a Hubbard U)

Data for a geometry-optimized HgWO3 structure.

Structure (POSCAR):
```
HgWO3
1.0
-0.599 -2.491 -3.273
1.953 -3.083 1.990
-3.620 -1.251 1.615
Hg O W
1 3 1
direct
0.000 0.000 0.000
0.000 0.000 0.500
0.500 0.000 0.000
0.000 0.500 0.000
0.500 0.500 0.500
```

Output
* DFT total energy: -0.1378 Ha/atom
* symmetry: Pm-3m, No. 221

| no. | total magnetic moment (μB per formula unit) |
| --- | --- |
| 1 | 0.00 |
| 2 | 3.34 |